1.
This record from Alexandria via LeMat-Bulk describes a relaxed Sr3AcS4 crystal. The functional is PBE.

a b c (Å): 8.579 12.122 4.285
angles (deg): 90.00 90.00 90.00
Fractional coordinates of all 16 atoms:
1 Sr 0.000 0.000 0.000
2 Sr 0.250 0.250 0.500
3 Sr 0.250 0.750 0.500
4 Sr 0.500 0.500 0.000
5 Sr 0.750 0.250 0.500
6 Sr 0.750 0.750 0.500
7 Ac 0.000 0.500 0.000
8 Ac 0.500 0.000 0.000
9 S 0.000 0.251 0.000
10 S 0.000 0.749 0.000
11 S 0.249 0.000 0.500
12 S 0.251 0.500 0.500
13 S 0.500 0.249 0.000
14 S 0.500 0.751 0.000
15 S 0.749 0.500 0.500
16 S 0.751 0.000 0.500

Calculated values
ΔE_f (raw) = -2.09 eV per atom
Space-group type = Cmmm
Calculated volume = 445.6 Å³ per cell
Crystal system = orthorhombic

2.
This record from Alexandria via LeMat-Bulk describes a relaxed Pr8NiRu3I4 crystal. The functional is PBE.

a b c (Å): 8.340 8.340 9.547
angles (deg): 115.82 115.82 60.05
Fractional coordinates of all 16 atoms:
1 Pr 0.224 0.730 0.685
2 Pr 0.229 0.229 0.689
3 Pr 0.269 0.269 0.315
4 Pr 0.270 0.776 0.315
5 Pr 0.730 0.224 0.685
6 Pr 0.731 0.731 0.685
7 Pr 0.771 0.771 0.311
8 Pr 0.776 0.270 0.315
9 Ni 0.500 0.500 0.500
10 Ru 0.000 0.000 0.500
11 Ru 0.000 0.500 0.500
12 Ru 0.500 0.000 0.500
13 I 0.000 0.000 0.000
14 I 0.000 0.500 0.000
15 I 0.500 0.000 0.000
16 I 0.500 0.500 0.000

Calculated values
ΔE_f (raw) = -0.65 eV per atom
Space-group type = C2/m
Calculated volume = 497.3 Å³ per cell
Crystal system = monoclinic

3.
This record from Alexandria via LeMat-Bulk describes a relaxed MgCdBi crystal. The functional is PBE.

a b c (Å): 3.427 5.571 16.746
angles (deg): 90.00 90.00 90.00
Fractional coordinates of all 12 atoms:
1 Mg 0.000 0.000 0.142
2 Mg 0.000 0.000 0.858
3 Mg 0.500 0.500 0.358
4 Mg 0.500 0.500 0.642
5 Cd 0.000 0.253 0.500
6 Cd 0.000 0.747 0.500
7 Cd 0.500 0.247 0.000
8 Cd 0.500 0.753 0.000
9 Bi 0.000 0.000 0.329
10 Bi 0.000 0.000 0.671
11 Bi 0.500 0.500 0.171
12 Bi 0.500 0.500 0.829

Calculated values
Space-group type = Immm
Calculated volume = 319.8 Å³ per cell
Crystal system = orthorhombic
Energy of formation = -30 meV/atom